# 1
This record from Alexandria describes a relaxed structure of Tb2HfTe. The functional is PBE.

**Uncorrected energy**: -5.5135 eV/atom
**Calculated density**: 8.51 g/cm³
**Crystal system**: trigonal
**Raw formation energy**: 0.0754 eV/atom

Cell: 10.618 10.618 10.618 Å, 19.93 19.93 19.93°
Fractional positions:
Tb  0.098  0.098  0.098
Tb  0.902  0.902  0.902
Hf  0.000  0.000  0.000
Te  0.500  0.500  0.500

=====

# 2
This record from Alexandria describes a relaxed structure of V4Cr. The functional is PBE.

**Uncorrected energy**: -8.6795 eV/atom
**Calculated density**: 5.90 g/cm³
**Offset from the most stable computed form**: 0.220 eV/atom
**Crystal system**: tetragonal

Cell: 4.571 4.571 4.571 Å, 114.44 114.44 99.93°
Fractional positions:
V  0.051  0.646  0.000
V  0.354  0.354  0.404
V  0.646  0.051  0.000
V  0.949  0.949  0.596
Cr  0.500  0.500  0.000

=====

# 3
This record from Alexandria describes a relaxed structure of TcAgPbF6. The functional is PBE.

**Uncorrected energy**: -4.9093 eV/atom
**Calculated density**: 6.37 g/cm³
**Crystal system**: trigonal
**Raw formation energy**: -1.7811 eV/atom

Cell: 6.474 6.474 7.567 Å, 90.00 90.00 120.00°
Fractional positions:
Tc  0.333  0.667  0.250
Tc  0.667  0.333  0.750
Ag  0.000  0.000  0.000
Ag  0.000  0.000  0.500
Pb  0.333  0.667  0.750
Pb  0.667  0.333  0.250
F  0.056  0.385  0.125
F  0.056  0.671  0.375
F  0.329  0.385  0.375
F  0.329  0.944  0.125
F  0.385  0.056  0.625
F  0.385  0.329  0.875
F  0.615  0.671  0.125
F  0.615  0.944  0.375
F  0.671  0.056  0.875
F  0.671  0.615  0.625
F  0.944  0.329  0.625
F  0.944  0.615  0.875

=====

# 4
This record from Alexandria describes a relaxed structure of K2RbCdO. The functional is PBE.

**Uncorrected energy**: -2.3334 eV/atom
**Calculated density**: 2.79 g/cm³
**Crystal system**: tetragonal
**Raw formation energy**: -0.5263 eV/atom

Cell: 5.481 5.481 5.789 Å, 90.00 90.00 90.00°
Fractional positions:
K  0.000  0.500  0.000
K  0.500  0.000  0.000
Rb  0.000  0.000  0.500
Cd  0.500  0.500  0.500
O  0.000  0.000  0.000

=====

# 5
This record from Alexandria describes a relaxed structure of CsAgBSe3. The functional is PBE.

**Uncorrected energy**: -3.8232 eV/atom
**Calculated density**: 3.93 g/cm³
**Crystal system**: monoclinic
**Raw formation energy**: -0.3506 eV/atom

Cell: 8.340 8.340 9.476 Å, 112.54 112.54 43.43°
Fractional positions:
Cs  0.183  0.183  0.215
Cs  0.817  0.817  0.785
Ag  0.243  0.757  0.500
Ag  0.757  0.243  0.500
B  0.493  0.493  0.730
B  0.507  0.507  0.270
Se  0.166  0.663  0.202
Se  0.337  0.834  0.798
Se  0.358  0.358  0.626
Se  0.642  0.642  0.374
Se  0.663  0.166  0.202
Se  0.834  0.337  0.798

=====

# 6
This record from Alexandria describes a relaxed structure of Tm5CdPb2. The functional is PBE.

**Uncorrected energy**: -4.0164 eV/atom
**Calculated density**: 10.05 g/cm³
**Crystal system**: orthorhombic

Cell: 6.147 6.147 17.700 Å, 90.00 90.00 137.36°
Fractional positions:
Tm  0.045  0.955  0.597
Tm  0.045  0.955  0.903
Tm  0.349  0.651  0.534
Tm  0.349  0.651  0.966
Tm  0.440  0.560  0.750
Tm  0.560  0.440  0.250
Tm  0.651  0.349  0.034
Tm  0.651  0.349  0.466
Tm  0.955  0.045  0.097
Tm  0.955  0.045  0.403
Cd  0.154  0.846  0.750
Cd  0.846  0.154  0.250
Pb  0.241  0.759  0.147
Pb  0.241  0.759  0.353
Pb  0.759  0.241  0.647
Pb  0.759  0.241  0.853

=====

# 7
This record from Alexandria describes a relaxed structure of PaTaAs. The functional is PBE.

**Uncorrected energy**: -9.0383 eV/atom
**Calculated density**: 11.97 g/cm³
**Offset from the most stable computed form**: 0.000 eV/atom
**Crystal system**: monoclinic

Cell: 3.936 3.936 8.719 Å, 90.05 90.05 90.00°
Fractional positions:
Pa  0.250  0.250  0.196
Pa  0.750  0.750  0.804
Ta  0.250  0.250  0.559
Ta  0.750  0.750  0.441
As  0.250  0.250  0.862
As  0.750  0.750  0.138

=====

# 8
This record from Alexandria describes a relaxed structure of NbV2Br. The functional is PBE.

**Uncorrected energy**: -6.7411 eV/atom
**Calculated density**: 7.05 g/cm³
**Offset from the most stable computed form**: 0.000 eV/atom
**Crystal system**: cubic
**Raw formation energy**: 0.7539 eV/atom

Cell: 4.506 4.506 4.506 Å, 60.00 60.00 60.00°
Fractional positions:
Nb  0.000  0.000  0.000
V  0.250  0.250  0.250
V  0.750  0.750  0.750
Br  0.500  0.500  0.500

=====

# 9
This record from Alexandria describes a relaxed structure of Tb5MgHg6. The functional is PBE.

**Uncorrected energy**: -2.6786 eV/atom
**Calculated density**: 11.09 g/cm³
**Crystal system**: orthorhombic

Cell: 9.077 9.077 9.077 Å, 146.90 131.59 59.90°
Fractional positions:
Tb  0.000  0.000  0.000
Tb  0.169  0.669  0.500
Tb  0.338  0.338  0.000
Tb  0.662  0.662  0.000
Tb  0.831  0.331  0.500
Mg  0.500  0.000  0.500
Hg  0.093  0.837  0.255
Hg  0.257  0.500  0.757
Hg  0.418  0.163  0.255
Hg  0.582  0.837  0.745
Hg  0.743  0.500  0.243
Hg  0.907  0.163  0.745

=====

# 10
This record from Alexandria describes a relaxed structure of YMnFe. The functional is PBE.

**Uncorrected energy**: -7.4688 eV/atom
**Calculated density**: 5.84 g/cm³
**Offset from the most stable computed form**: 0.508 eV/atom
**Crystal system**: cubic

Cell: 4.314 4.314 4.314 Å, 60.00 60.00 60.00°
Fractional positions:
Y  0.000  0.000  0.000
Mn  0.500  0.500  0.500
Fe  0.250  0.250  0.250

=====

# 11
This record from Alexandria describes a relaxed structure of KNpSiO6. The functional is PBE.

**Uncorrected energy**: -7.8390 eV/atom
**Calculated density**: 4.77 g/cm³
**Crystal system**: trigonal
**Raw formation energy**: -2.3712 eV/atom

Cell: 5.170 5.170 12.035 Å, 90.00 90.00 120.00°
Fractional positions:
K  0.000  0.000  0.000
K  0.000  0.000  0.500
Np  0.333  0.667  0.250
Np  0.667  0.333  0.750
Si  0.333  0.667  0.750
Si  0.667  0.333  0.250
O  0.033  0.393  0.664
O  0.033  0.639  0.836
O  0.361  0.393  0.836
O  0.361  0.967  0.664
O  0.393  0.033  0.164
O  0.393  0.361  0.336
O  0.607  0.639  0.664
O  0.607  0.967  0.836
O  0.639  0.033  0.336
O  0.639  0.607  0.164
O  0.967  0.361  0.164
O  0.967  0.607  0.336

=====

# 12
This record from Alexandria describes a relaxed structure of K2MoSe. The functional is PBE.

**Uncorrected energy**: -3.8878 eV/atom
**Calculated density**: 2.82 g/cm³
**Offset from the most stable computed form**: 0.008 eV/atom
**Crystal system**: monoclinic
**Raw formation energy**: 0.2399 eV/atom

Cell: 4.125 4.125 10.347 Å, 100.79 100.79 59.98°
Fractional positions:
K  0.000  0.000  0.000
K  0.183  0.183  0.583
Mo  0.422  0.422  0.280
Se  0.779  0.779  0.355

=====

> The lowest uncorrected energy belongs to which entry?

PaTaAs